Record 1
VASP calculation (PBE) on crystalline HfP2OsCl at its relaxed geometry.

a = 4.5778 Å, b = 4.5778 Å, c = 4.7510 Å
α = 90.00°, β = 90.00°, γ = 90.00°
Positions (direct):
Cl 0.0000 0.0000 0.5000
Os 0.0000 0.0000 0.0000
Hf 0.5000 0.5000 0.5000
P 0.5000 0.0000 0.0000
P 0.0000 0.5000 0.0000

Results
total DFT energy (no corrections): -6.14 eV/atom
SG: P4/mmm (123)
formation energy from raw total energies: 0.63 eV/atom
ΔE to the lowest computed polymorph: 0.000 eV/f.u.

Record 2
VASP calculation (PBE) on crystalline Zr6HgBi3 at its relaxed geometry.

a = 7.4936 Å, b = 8.6729 Å, c = 8.6729 Å
α = 115.06°, β = 90.00°, γ = 90.00°
Positions (direct):
Zr 0.3064 0.0071 0.4425
Zr 0.1082 0.3831 0.2276
Zr 0.7974 0.0515 0.9485
Zr 0.2974 0.9485 0.0515
Zr 0.6082 0.6169 0.7724
Zr 0.1082 0.7724 0.6169
Zr 0.0300 0.7409 0.2591
Zr 0.8064 0.9929 0.5575
Zr 0.5300 0.2591 0.7409
Zr 0.8064 0.4425 0.0071
Zr 0.3064 0.5575 0.9929
Zr 0.6082 0.2276 0.3831
Bi 0.9746 0.1002 0.2976
Bi 0.9746 0.7024 0.8998
Bi 0.4746 0.2976 0.1002
Bi 0.2745 0.4225 0.5775
Bi 0.7745 0.5775 0.4225
Bi 0.4746 0.8998 0.7024
Hg 0.6051 0.8158 0.1842
Hg 0.1051 0.1842 0.8158

Results
calculated formation energy: -125 meV/atom
total DFT energy (no corrections): -6.45 eV/atom
SG: Cmc2_1 (36)

Record 3
VASP calculation (PBE) on crystalline LaPm6 at its relaxed geometry.

a = 6.6890 Å, b = 6.6890 Å, c = 11.2802 Å
α = 90.00°, β = 90.00°, γ = 90.00°
Positions (direct):
Pm 0.0000 0.0000 0.1392
Pm 0.3318 0.8318 0.3619
Pm 0.1682 0.6682 0.6381
Pm 0.3318 0.1682 0.6381
Pm 0.6682 0.8318 0.6381
Pm 0.5000 0.5000 0.8608
Pm 0.6682 0.1682 0.3619
Pm 0.8318 0.6682 0.3619
Pm 0.1682 0.3318 0.3619
Pm 0.0000 0.0000 0.8608
Pm 0.5000 0.5000 0.1392
Pm 0.8318 0.3318 0.6381
La 0.5000 0.0000 0.0000
La 0.0000 0.5000 0.0000

Results
calculated formation energy: 226 meV/atom
total DFT energy (no corrections): -4.55 eV/atom
SG: P4/nbm (125)
ΔE to the lowest computed polymorph: 0.000 eV/f.u.

Record 4
VASP calculation (PBE) on crystalline Ca4Bi7Pb5 at its relaxed geometry.

a = 6.7172 Å, b = 6.7172 Å, c = 12.0790 Å
α = 106.14°, β = 106.14°, γ = 90.00°
Positions (direct):
Ca 0.3775 0.8597 0.2371
Ca 0.1403 0.1403 0.7629
Ca 0.6225 0.6225 0.7629
Ca 0.8597 0.3775 0.2371
Bi 0.8904 0.8904 0.2618
Bi 0.3714 0.3714 0.2618
Bi 0.5000 0.5000 0.0000
Bi 0.0000 0.5000 0.0000
Bi 0.1096 0.6286 0.7382
Bi 0.5000 0.0000 0.0000
Bi 0.6286 0.1096 0.7382
Pb 0.7517 0.7517 0.5034
Pb 0.7500 0.2500 0.5000
Pb 0.2500 0.7500 0.5000
Pb 0.2483 0.2483 0.4966
Pb 0.0000 0.0000 0.0000

Results
calculated formation energy: -334 meV/atom
total DFT energy (no corrections): -3.69 eV/atom
SG: I-42m (121)